A relaxed SrVCr2O8 crystal, computed with PBE+U.

Its calculated volume is 14.74 Å³/atom. Its density of states at the Fermi level is 0.10 states/eV/atom. The calculation puts the mass density at 3.479 g/cm3. The calculation puts the total energy at -7.10 eV per atom.

It has space group C2/m (No. 12), with a = 8.6102 Å, b = 5.6063 Å, c = 7.3429 Å, α = 90.00°, β = 93.60° and γ = 90.00°. Symmetry generates all atoms from Sr at (0.0000, 0.0000, 0.0000), V at (0.0000, 0.0000, 0.5000), Cr at (0.1336, 0.5000, 0.2770), O at (0.0238, 0.2426, 0.3000), O at (0.2077, 0.5000, 0.0739) and O at (0.2135, 0.0000, 0.5562).